Entry 1:
Ca2H2Au | the Alexandria database | meta-GGA SCAN | single point on PBEsol structure; DOS at the Fermi energy = 1.1 states/eV/f.u.; VASP energy = -99.098 eV per cell; spin magnetization = 0.0 μB per formula unit; SG = I4/mmm, No. 139
1.0
-1.4563 2.9626 -1.5929
-3.3340 -1.5018 0.2549
1.6444 1.8754 6.2019
Ca H Au
2 2 1
direct
0.3551 0.3551 0.7101
0.6449 0.6449 0.2899
0.7500 0.2500 0.5000
0.2500 0.7500 0.5000
0.0000 0.0000 0.0000

Entry 2:
CaHfHgAu2 | the Alexandria database | meta-GGA SCAN | single point on PBEsol structure; DOS at the Fermi energy = 3.1 states/eV/f.u.; E_form = 0.416 eV per atom; VASP energy = -276.735 eV per cell; spin magnetization = 0.0 μB per formula unit; SG = P4/mmm, No. 123
1.0
-0.7502 1.8417 -4.6641
-4.9536 0.4613 0.9789
0.9054 5.4582 2.0097
Au Ca Hf Hg
2 1 1 1
direct
0.5000 0.0000 0.0000
0.0000 0.5000 0.0000
0.0000 0.0000 0.5000
0.0000 0.0000 0.0000
0.5000 0.5000 0.5000